# 1
# NdDyEr2Tm | Alexandria via LeMat-Bulk | PBE-GGA | relaxed
data_NdDyEr2Tm
_chemical_formula_sum 'Nd4 Dy4 Er8 Tm4'
_space_group_name_H-M_alt 'C m c m'
_space_group_IT_number 63
_space_group_name_Hall '-C 2c 2'
_cell_length_a 8.350
_cell_length_b 11.405
_cell_length_c 7.177
_cell_angle_alpha 90.00
_cell_angle_beta 90.00
_cell_angle_gamma 90.00
loop_
_atom_site_label
_atom_site_fract_x
_atom_site_fract_y
_atom_site_fract_z
Nd1 0.000 0.229 0.250
Dy1 0.000 0.499 0.750
Er1 0.189 0.000 0.000
Tm1 0.000 0.220 0.750
# **Raw total energy**: -4.21 eV/atom
# **Magnetization**: 0.0 Bohr magnetons per cell
# **N(E_F)**: 27.9 states/eV/cell

---

# 2
# Nd4DyEr2Tm2 | Alexandria via LeMat-Bulk | PBE-GGA | relaxed
data_Nd4DyEr2Tm2
_chemical_formula_sum 'Nd8 Dy2 Er4 Tm4'
_space_group_name_H-M_alt 'C 1 2/m 1'
_space_group_IT_number 12
_space_group_name_Hall '-C 2y'
_cell_length_a 15.223
_cell_length_b 5.058
_cell_length_c 8.013
_cell_angle_alpha 90.00
_cell_angle_beta 108.34
_cell_angle_gamma 90.00
loop_
_atom_site_label
_atom_site_fract_x
_atom_site_fract_y
_atom_site_fract_z
Nd1 0.054 0.000 0.330
Nd2 0.223 0.500 0.332
Dy1 0.000 0.500 0.000
Er1 0.111 0.500 0.670
Tm1 0.168 0.000 0.000
# **Raw total energy**: -4.61 eV/atom
# **Magnetization**: 0.0 Bohr magnetons per cell
# **N(E_F)**: 26.3 states/eV/cell

---

# 3
# NdDy2Er6Tm | Alexandria via LeMat-Bulk | PBE-GGA | relaxed
data_NdDy2Er6Tm
_chemical_formula_sum 'Nd4 Dy8 Er24 Tm4'
_space_group_name_H-M_alt 'C 1 2/c 1'
_space_group_IT_number 15
_space_group_name_Hall '-C 2yc'
_cell_length_a 9.009
_cell_length_b 14.935
_cell_length_c 9.456
_cell_angle_alpha 90.00
_cell_angle_beta 97.00
_cell_angle_gamma 90.00
loop_
_atom_site_label
_atom_site_fract_x
_atom_site_fract_y
_atom_site_fract_z
Nd1 0.000 0.025 0.250
Dy1 0.248 0.447 0.454
Er1 0.063 0.188 0.942
Er2 0.100 0.391 0.118
Er3 0.208 0.226 0.316
Tm1 0.000 0.410 0.750
# **Raw total energy**: -4.46 eV/atom
# **Magnetization**: 0.0 Bohr magnetons per cell
# **N(E_F)**: 56.6 states/eV/cell

---

# 4
# Nd3Dy2Er6Tm | Alexandria via LeMat-Bulk | PBE-GGA | relaxed
data_Nd3Dy2Er6Tm
_chemical_formula_sum 'Nd6 Dy4 Er12 Tm2'
_space_group_name_H-M_alt 'C 1 2/m 1'
_space_group_IT_number 12
_space_group_name_Hall '-C 2y'
_cell_length_a 6.165
_cell_length_b 10.672
_cell_length_c 11.733
_cell_angle_alpha 90.00
_cell_angle_beta 100.06
_cell_angle_gamma 90.00
loop_
_atom_site_label
_atom_site_fract_x
_atom_site_fract_y
_atom_site_fract_z
Nd1 0.000 0.000 0.000
Nd2 0.000 0.333 0.000
Dy1 0.000 0.167 0.500
Er1 0.248 0.333 0.746
Er2 0.249 0.000 0.746
Tm1 0.000 0.500 0.500
# **Raw total energy**: -4.59 eV/atom
# **Magnetization**: 0.0 Bohr magnetons per cell
# **N(E_F)**: 31.5 states/eV/cell

---

# 5
# Nd2DyErTm | Alexandria via LeMat-Bulk | PBE-GGA | relaxed
data_Nd2DyErTm
_chemical_formula_sum 'Nd8 Dy4 Er4 Tm4'
_space_group_name_H-M_alt 'C m c m'
_space_group_IT_number 63
_space_group_name_Hall '-C 2c 2'
_cell_length_a 8.434
_cell_length_b 11.462
_cell_length_c 7.286
_cell_angle_alpha 90.00
_cell_angle_beta 90.00
_cell_angle_gamma 90.00
loop_
_atom_site_label
_atom_site_fract_x
_atom_site_fract_y
_atom_site_fract_z
Nd1 0.195 0.000 0.000
Dy1 0.000 0.228 0.250
Er1 0.000 0.225 0.750
Tm1 0.000 0.498 0.750
# **Raw total energy**: -4.21 eV/atom
# **Magnetization**: 0.0 Bohr magnetons per cell
# **N(E_F)**: 28.0 states/eV/cell

---

# 6
# NdDyEr5Tm2 | Alexandria via LeMat-Bulk | PBE-GGA | relaxed
data_NdDyEr5Tm2
_chemical_formula_sum 'Nd4 Dy4 Er20 Tm8'
_space_group_name_H-M_alt 'C m c 21'
_space_group_IT_number 36
_space_group_name_Hall 'C 2c -2'
_cell_length_a 5.556
_cell_length_b 19.668
_cell_length_c 10.476
_cell_angle_alpha 90.00
_cell_angle_beta 90.00
_cell_angle_gamma 90.00
loop_
_atom_site_label
_atom_site_fract_x
_atom_site_fract_y
_atom_site_fract_z
Nd1 0.000 0.084 0.000
Dy1 0.000 0.300 0.562
Er1 0.000 0.022 0.286
Er2 0.000 0.112 0.573
Er3 0.000 0.201 0.260
Er4 0.000 0.219 0.862
Er5 0.000 0.482 0.575
Tm1 0.000 0.387 0.868
Tm2 0.000 0.389 0.285
# **Raw total energy**: -4.40 eV/atom
# **Magnetization**: 0.0 Bohr magnetons per cell
# **N(E_F)**: 58.2 states/eV/cell

---

# 7
# Nd6Dy2Er3Tm | Alexandria via LeMat-Bulk | PBE-GGA | relaxed
data_Nd6Dy2Er3Tm
_chemical_formula_sum 'Nd12 Dy4 Er6 Tm2'
_space_group_name_H-M_alt 'C 1 2/m 1'
_space_group_IT_number 12
_space_group_name_Hall '-C 2y'
_cell_length_a 6.251
_cell_length_b 10.826
_cell_length_c 11.795
_cell_angle_alpha 90.00
_cell_angle_beta 100.14
_cell_angle_gamma 90.00
loop_
_atom_site_label
_atom_site_fract_x
_atom_site_fract_y
_atom_site_fract_z
Nd1 0.249 0.000 0.249
Nd2 0.250 0.166 0.750
Dy1 0.000 0.333 0.500
Er1 0.000 0.167 0.000
Er2 0.000 0.500 0.000
Tm1 0.000 0.000 0.500
# **Raw total energy**: -4.65 eV/atom
# **Magnetization**: 0.0 Bohr magnetons per cell
# **N(E_F)**: 25.6 states/eV/cell

---

# 8
# Nd5Dy2ErTm | Alexandria via LeMat-Bulk | PBE-GGA | relaxed
data_Nd5Dy2ErTm
_chemical_formula_sum 'Nd20 Dy8 Er4 Tm4'
_space_group_name_H-M_alt 'C m c 21'
_space_group_IT_number 36
_space_group_name_Hall 'C 2c -2'
_cell_length_a 5.634
_cell_length_b 20.412
_cell_length_c 10.682
_cell_angle_alpha 90.00
_cell_angle_beta 90.00
_cell_angle_gamma 90.00
loop_
_atom_site_label
_atom_site_fract_x
_atom_site_fract_y
_atom_site_fract_z
Nd1 0.000 0.016 0.000
Nd2 0.000 0.118 0.275
Nd3 0.000 0.203 0.963
Nd4 0.000 0.221 0.569
Nd5 0.000 0.484 0.271
Dy1 0.000 0.386 0.563
Dy2 0.000 0.387 0.994
Er1 0.000 0.093 0.720
Tm1 0.000 0.302 0.266
# **Raw total energy**: -4.53 eV/atom
# **Magnetization**: 0.0 Bohr magnetons per cell
# **N(E_F)**: 56.2 states/eV/cell